## Fe2CuAgS (PBE)

Data for a relaxed structure of Fe2CuAgS.

Output
Uncorrected formation energy, meV per atom: 499
Calculated volume, A^3/atom: 16.157

```
Fe2CuAgS
1.0
-2.7054 -2.6663 1.6535
2.6509 -0.2840 3.8793
-2.0977 3.1608 1.6648
Fe Cu S Ag
2 1 1 1
direct
0.5000 0.0000 0.0000
0.0000 0.0000 0.5000
0.5000 0.5000 0.5000
0.0000 0.0000 0.0000
0.0000 0.5000 0.0000
```


## Th2FeCuAg (PBE)

Data for a relaxed structure of Th2FeCuAg.

Output
E_form, meV per atom: -88.2
Calculated volume, A^3/atom: 21.820

```
Th2FeCuAg
1.0
-3.7327 0.4371 -0.9331
-0.8350 -7.6676 -0.2512
-1.4607 2.8488 7.1774
Cu Th Ag Fe
2 4 2 2
direct
0.2500 0.5615 0.6293
0.7500 0.4385 0.3707
0.2500 0.2753 0.9886
0.7500 0.7247 0.0114
0.7500 0.8799 0.6517
0.2500 0.1201 0.3483
0.7500 0.3281 0.6798
0.2500 0.6719 0.3202
0.7500 0.1208 0.1077
0.2500 0.8792 0.8923
```


## Y2FeCuAg (PBE)

Data for a relaxed structure of Y2FeCuAg.

Output
E_form, meV per atom: 566.9
Calculated volume, A^3/atom: 25.522

```
Y2FeCuAg
1.0
-0.9061 -0.0986 -5.1249
-2.4483 -3.9908 0.5096
-4.3534 2.7622 0.7165
Fe Ag Y Cu
1 1 2 1
direct
0.5000 0.5000 0.5000
0.0000 0.5000 0.0000
0.0000 0.0000 0.5000
0.5000 0.0000 0.0000
0.0000 0.0000 0.0000
```


## ZnFeCuAg2 (PBE)

Data for a relaxed structure of ZnFeCuAg2.

Output
E_form, meV per atom: 999.5
Calculated volume, A^3/atom: 21.457

```
ZnFeCuAg2
1.0
-4.8339 0.5912 0.1954
-0.4282 -2.2061 -3.9177
-0.4174 -4.2116 2.4172
Ag Zn Cu Fe
2 1 1 1
direct
0.5000 0.0000 0.0000
0.0000 0.0000 0.5000
0.5000 0.5000 0.5000
0.0000 0.5000 0.0000
0.0000 0.0000 0.0000
```


## GaCuAg5 (PBE)

Data for a relaxed structure of GaCuAg5.

Output
E_form, meV per atom: 51.4
Calculated volume, A^3/atom: 17.460

```
GaCuAg5
1.0
-6.1592 3.3738 0.7106
-1.5169 -3.4612 5.9617
1.2401 3.5036 3.4641
Ag Cu Ga
10 2 2
direct
0.0525 0.6628 0.3195
0.9475 0.3372 0.6805
0.8268 0.6728 0.8959
0.7357 0.2643 0.2500
0.3372 0.9475 0.1805
0.6628 0.0525 0.8195
0.1732 0.3272 0.1041
0.3272 0.1732 0.6041
0.2643 0.7357 0.7500
0.6728 0.8268 0.3959
0.0000 0.0000 0.0000
0.0000 0.0000 0.5000
0.5546 0.4454 0.7500
0.4454 0.5546 0.2500
```


## GaCu2Ag (PBE)

Data for a relaxed structure of GaCu2Ag.

Output
E_form, meV per atom: 51.4
Calculated volume, A^3/atom: 14.677

```
GaCu2Ag
1.0
2.8189 0.0000 0.0000
1.4094 2.4412 0.0000
1.4094 0.8137 8.5311
Cu Ag Ga
2 1 1
direct
0.2542 0.2542 0.2374
0.0791 0.0791 0.7627
0.5000 0.5000 0.5000
0.6667 0.6667 0.9999
```


## Ga2CuAg (PBE)

Data for a relaxed structure of Ga2CuAg.

Output
Distance to the lowest polymorph of the same formula, eV per formula unit: 0.22
E_form, meV per atom: 49.3
Calculated volume, A^3/atom: 16.012

```
Ga2CuAg
1.0
3.9572 0.0000 0.0000
0.0000 4.0231 0.0000
0.0000 0.0000 4.0231
Cu Ga Ag
1 2 1
direct
0.5000 0.0000 0.0000
0.0000 0.5000 0.0000
0.0000 0.0000 0.5000
0.5000 0.5000 0.5000
```


## GaCu4Ag (PBE)

Data for a relaxed structure of GaCu4Ag.

Output
E_form, meV per atom: 65.9
Calculated volume, A^3/atom: 14.066

```
GaCu4Ag
1.0
-4.8278 0.8322 -0.4913
-2.8244 -3.2388 -2.4031
-3.2384 -2.7580 2.4794
Ag Cu Ga
1 4 1
direct
0.0000 0.0000 0.0000
0.6249 0.6249 0.1252
0.6249 0.6249 0.6249
0.1252 0.6249 0.6249
0.6249 0.1252 0.6249
0.2500 0.2500 0.2500
```


## Ga2CuAg8 (PBE)

Data for a relaxed structure of Ga2CuAg8.

Output
Distance to the lowest polymorph of the same formula, eV per formula unit: 1.21
E_form, meV per atom: 134.2
Calculated volume, A^3/atom: 19.573

```
Ga2CuAg8
1.0
4.3731 0.3980 0.3308
0.5779 7.1429 0.1154
0.5779 1.4193 7.0014
Ag Ga Cu
8 2 1
direct
0.8943 0.2478 0.2478
0.1057 0.7522 0.7522
0.3023 0.4120 0.4120
0.1910 0.3503 0.8296
0.8090 0.6497 0.1704
0.6977 0.5880 0.5880
0.8090 0.1704 0.6497
0.1910 0.8296 0.3503
0.5370 0.8733 0.8733
0.4630 0.1267 0.1267
0.0000 0.0000 0.0000
```


## Ga8Cu2Ag (PBE)

Data for a relaxed structure of Ga8Cu2Ag.

Output
E_form, meV per atom: 31.9
Calculated volume, A^3/atom: 18.004

```
Ga8Cu2Ag
1.0
5.1616 -0.5472 -0.4152
-0.7099 6.6473 0.8136
-0.7099 2.5734 6.1827
Ga Ag Cu
8 1 2
direct
0.6049 0.6124 0.1832
0.3951 0.3876 0.8168
0.8745 0.5924 0.5924
0.7874 0.1907 0.1907
0.3951 0.8168 0.3876
0.1255 0.4076 0.4076
0.6049 0.1832 0.6124
0.2126 0.8093 0.8093
0.0000 0.0000 0.0000
0.3043 0.2269 0.2269
0.6957 0.7731 0.7731
```


## GaCu5Ag (PBE)

Data for a relaxed structure of GaCu5Ag.

Output
E_form, meV per atom: 88.6
Calculated volume, A^3/atom: 14.447

```
GaCu5Ag
1.0
-2.1740 -2.2519 -3.3700
3.2751 -2.4900 2.0562
-3.5004 -1.7646 3.4377
Ga Cu Ag
1 5 1
direct
0.5000 0.5000 0.5000
0.0000 0.5000 0.2545
0.0000 0.5000 0.7455
0.5000 0.0000 0.2545
0.0000 0.0000 0.5000
0.5000 0.0000 0.7455
0.0000 0.0000 0.0000
```


## Ga2CuAg (PBE)

Data for a relaxed structure of Ga2CuAg.

Output
Distance to the lowest polymorph of the same formula, eV per formula unit: 0.05
E_form, meV per atom: 7.9
Calculated volume, A^3/atom: 16.026

```
Ga2CuAg
1.0
-0.5482 2.6824 0.8622
-2.8099 -0.5852 0.0338
0.5621 -2.2705 7.4207
Ga Ag Cu
2 1 1
direct
0.0000 0.0000 0.7808
0.0000 0.0000 0.2192
0.5000 0.5000 0.5000
0.5000 0.5000 0.0000
```


## GaCu2Ag (PBE)

Data for a relaxed structure of GaCu2Ag.

Output
E_form, meV per atom: -11.0
Calculated volume, A^3/atom: 14.358

```
GaCu2Ag
1.0
2.9663 0.0000 0.0000
0.0000 6.0724 0.0000
0.0000 0.0000 6.3766
Cu Ag Ga
4 2 2
direct
0.5000 0.0329 0.7734
0.5000 0.5329 0.2266
0.5000 0.4671 0.7734
0.5000 0.9671 0.2266
0.0000 0.7500 0.5252
0.0000 0.2500 0.4748
0.0000 0.2500 0.0298
0.0000 0.7500 0.9702
```


## GaCu2Ag (PBE)

Data for a relaxed structure of GaCu2Ag.

Output
E_form, meV per atom: 3.2
Calculated volume, A^3/atom: 14.339

```
GaCu2Ag
1.0
3.5231 0.0000 0.0000
0.0000 4.0349 0.0000
0.0000 0.0000 4.0349
Cu Ag Ga
2 1 1
direct
0.0000 0.0000 0.5000
0.0000 0.5000 0.0000
0.5000 0.0000 0.0000
0.5000 0.5000 0.5000
```


## Ga8Cu3Ag2 (PBE)

Data for a relaxed structure of Ga8Cu3Ag2.

Output
E_form, meV per atom: -12.5
Calculated volume, A^3/atom: 17.331

```
Ga8Cu3Ag2
1.0
-1.6411 2.2129 -2.8864
7.0607 0.1371 -3.9094
-4.8480 -5.8791 -1.7509
Ga Cu Ag
8 3 2
direct
0.0000 0.1462 0.2703
0.0000 0.4143 0.8035
0.0000 0.8538 0.7297
0.0000 0.5857 0.1965
0.5000 0.3470 0.1832
0.5000 0.0957 0.7062
0.5000 0.6530 0.8168
0.5000 0.9043 0.2938
0.5000 0.0000 0.0000
0.0000 0.1998 0.9574
0.0000 0.8002 0.0426
0.5000 0.6820 0.4732
0.5000 0.3180 0.5268
```


## Ga2CuAg (PBE)

Data for a relaxed structure of Ga2CuAg.

Output
Distance to the lowest polymorph of the same formula, eV per formula unit: 0.35
E_form, meV per atom: 82.9
Calculated volume, A^3/atom: 16.282

```
Ga2CuAg
1.0
2.1786 1.5186 3.6527
-0.6034 4.2569 1.3818
-2.2830 0.8366 3.8056
Cu Ga Ag
1 2 1
direct
0.0000 0.0000 0.0000
0.2500 0.2500 0.2500
0.7500 0.7500 0.7500
0.5000 0.5000 0.5000
```


## Ga2CuAg (PBE)

Data for a relaxed structure of Ga2CuAg.

Output
Distance to the lowest polymorph of the same formula, eV per formula unit: 0.00
E_form, meV per atom: -5.5
Calculated volume, A^3/atom: 16.126

```
Ga2CuAg
1.0
2.9711 0.0000 0.0000
1.4856 2.5731 0.0000
1.4856 0.8577 8.4371
Ga Cu Ag
2 1 1
direct
0.2564 0.2564 0.2307
0.0767 0.0767 0.7699
0.6662 0.6662 0.0015
0.5007 0.5007 0.4980
```


## GaCu2Ag (PBE)

Data for a relaxed structure of GaCu2Ag.

Output
E_form, meV per atom: 101.1
Calculated volume, A^3/atom: 15.359

```
GaCu2Ag
1.0
-4.2994 -1.3427 -0.4795
3.3190 -2.9865 0.0344
-0.5986 -0.5846 7.0037
Cu Ga Ag
4 2 2
direct
0.2242 0.4485 0.4217
0.7758 0.5515 0.5783
0.7758 0.5515 0.9217
0.2242 0.4485 0.0783
0.0983 0.1955 0.7500
0.9017 0.8045 0.2500
0.5619 0.1243 0.2500
0.4381 0.8757 0.7500
```


## Ga4Cu2Ag5 (PBE)

Data for a relaxed structure of Ga4Cu2Ag5.

Output
E_form, meV per atom: 71.6
Calculated volume, A^3/atom: 17.452

```
Ga4Cu2Ag5
1.0
-2.8968 -0.5257 -0.2621
0.1444 -3.5519 5.5276
-0.4990 8.2783 5.5778
Ag Cu Ga
5 2 4
direct
0.1911 0.9280 0.3822
0.9056 0.7474 0.8111
0.8089 0.0720 0.6178
0.0944 0.2526 0.1889
0.5000 0.0000 0.0000
0.7738 0.6582 0.5475
0.2262 0.3418 0.4525
0.9587 0.3343 0.9174
0.0413 0.6657 0.0826
0.3487 0.4204 0.6974
0.6513 0.5796 0.3026
```


## Ga3CuAg (PBE)

Data for a relaxed structure of Ga3CuAg.

Output
Distance to the lowest polymorph of the same formula, eV per formula unit: 0.00
E_form, meV per atom: 2.3
Calculated volume, A^3/atom: 17.131

```
Ga3CuAg
1.0
-0.4636 2.1136 1.6495
-6.0498 4.0590 -2.4110
-5.3003 -4.9881 4.9021
Ga Cu Ag
6 2 2
direct
0.5813 0.9194 0.0000
0.8063 0.6922 0.2924
0.4187 0.0806 0.5000
0.1937 0.3078 0.2076
0.8063 0.6922 0.7076
0.1937 0.3078 0.7924
0.0000 0.0000 0.2500
0.0000 0.0000 0.7500
0.5486 0.4483 0.5000
0.4514 0.5517 0.0000
```